# PBE Sm2HgOs, optimized geometry
# Spin magnetization, Bohr magnetons per cell: 0.0
# ΔE_f, eV per atom: -0.087
# Total energy, Ha/atom: -0.1959
data_Sm2HgOs
_cell_length_a 4.1108
_cell_length_b 4.1108
_cell_length_c 23.2169
_cell_angle_alpha 90.00
_cell_angle_beta 90.00
_cell_angle_gamma 120.00
_space_group_name_H-M_alt 'R -3 m'
_space_group_IT_number 166
_space_group_name_Hall '-R 3 2"'
loop_
_atom_site_label
_atom_site_fract_x
_atom_site_fract_y
_atom_site_fract_z
Sm1 0.0000 0.0000 0.2317
Hg1 0.0000 0.0000 0.0000
Os1 0.0000 0.0000 0.5000